The following is a DFT calculation (PBE-GGA) of a relaxed La2MgRe crystal.

Calculated values
As for the crystal system: tetragonal. Its formation energy is 443 meV per atom. The value obtained for the total energy is -88.50 eV for the cell shown. The value obtained for the spin magnetization is 0.000 μB/atom.

Cell and atoms, written as POSCAR:
```
La2MgRe
1.0
8.5376 0.0000 0.0000
0.0000 8.5376 0.0000
0.0000 0.0000 6.1858
La Mg Re
8 4 4
Cartesian
1.5834 6.4032 0.7732
2.1344 1.5834 5.4126
2.1344 2.6854 2.3197
2.6854 6.4032 3.8661
5.8522 2.1344 3.8661
6.4032 5.8522 2.3197
6.4032 6.9542 5.4126
6.9542 2.1344 0.7732
0.0000 0.0000 3.0929
0.0000 4.2688 4.6393
4.2688 0.0000 1.5464
4.2688 4.2688 0.0000
0.0000 0.0000 0.0000
0.0000 4.2688 1.5464
4.2688 0.0000 4.6393
4.2688 4.2688 3.0929
```